No. 1
This record from Alexandria via LeMat-Bulk describes crystalline CeSmEu2 at its relaxed geometry. The functional is PBE.

POSCAR file:
```
CeSmEu2
1.0
3.683 0.000 0.000
0.000 3.683 0.000
0.000 0.000 10.643
Ce Sm Eu
1 1 2
Direct
0.000 0.000 0.000 Ce
0.000 0.000 0.500 Sm
0.500 0.500 0.248 Eu
0.500 0.500 0.752 Eu
```

Computed properties:
Space-group type = No. 123
Energy relative to the lowest polymorph listed for this composition = 0.00 eV/f.u.
M_tot = 16.34 μB per formula unit

No. 2
This record from Alexandria via LeMat-Bulk describes crystalline Ce4SmEu at its relaxed geometry. The functional is PBE.

POSCAR file:
```
Ce4SmEu
1.0
0.000 4.535 4.535
4.535 0.000 4.535
4.535 4.535 0.000
Ce Sm Eu
4 1 1
Direct
0.380 0.380 0.380 Ce
0.380 0.380 0.861 Ce
0.380 0.861 0.380 Ce
0.861 0.380 0.380 Ce
0.750 0.750 0.750 Sm
0.000 0.000 0.000 Eu
```

Computed properties:
Space-group type = No. 216
M_tot = 2.77 μB per formula unit

No. 3
This record from Alexandria via LeMat-Bulk describes crystalline TbCeSmEu at its relaxed geometry. The functional is PBE.

POSCAR file:
```
TbCeSmEu
1.0
0.000 4.099 4.099
4.099 0.000 4.099
4.099 4.099 0.000
Tb Ce Sm Eu
1 1 1 1
Direct
0.000 0.000 0.000 Tb
0.750 0.750 0.750 Ce
0.500 0.500 0.500 Sm
0.250 0.250 0.250 Eu
```

Computed properties:
Space-group type = No. 216
M_tot = 9.30 μB per formula unit

No. 4
This record from Alexandria via LeMat-Bulk describes crystalline CeSmEuTh at its relaxed geometry. The functional is PBE.

POSCAR file:
```
CeSmEuTh
1.0
0.000 4.076 4.076
4.076 0.000 4.076
4.076 4.076 0.000
Ce Sm Eu Th
1 1 1 1
Direct
0.000 0.000 0.000 Ce
0.750 0.750 0.750 Sm
0.500 0.500 0.500 Eu
0.250 0.250 0.250 Th
```

Computed properties:
Space-group type = No. 216
M_tot = 10.28 μB per formula unit

No. 5
This record from Alexandria via LeMat-Bulk describes crystalline CeSmEuTm at its relaxed geometry. The functional is PBE.

POSCAR file:
```
CeSmEuTm
1.0
0.000 4.081 4.081
4.081 0.000 4.081
4.081 4.081 0.000
Ce Sm Eu Tm
1 1 1 1
Direct
0.000 0.000 0.000 Ce
0.750 0.750 0.750 Sm
0.500 0.500 0.500 Eu
0.250 0.250 0.250 Tm
```

Computed properties:
Space-group type = No. 216
M_tot = 5.63 μB per formula unit

No. 6
This record from Alexandria via LeMat-Bulk describes crystalline CeEu2Sn at its relaxed geometry. The functional is PBE.

POSCAR file:
```
CeEu2Sn
1.0
0.000 3.955 3.955
3.955 0.000 3.955
3.955 3.955 0.000
Ce Eu Sn
1 2 1
Direct
0.000 0.000 0.000 Ce
0.250 0.250 0.250 Eu
0.750 0.750 0.750 Eu
0.500 0.500 0.500 Sn
```

Computed properties:
Space-group type = No. 225
Energy relative to the lowest polymorph listed for this composition = 0.56 eV/f.u.
M_tot = 17.78 μB per formula unit

No. 7
This record from Alexandria via LeMat-Bulk describes crystalline CeEuSn4 at its relaxed geometry. The functional is PBE.

POSCAR file:
```
CeEuSn4
1.0
0.000 4.423 4.423
4.423 0.000 4.423
4.423 4.423 0.000
Ce Eu Sn
1 1 4
Direct
0.000 0.000 0.000 Ce
0.250 0.250 0.250 Eu
0.125 0.625 0.625 Sn
0.625 0.125 0.625 Sn
0.625 0.625 0.125 Sn
0.625 0.625 0.625 Sn
```

Computed properties:
Space-group type = No. 216
M_tot = 8.96 μB per formula unit

No. 8
This record from Alexandria via LeMat-Bulk describes crystalline CeEu2Sn at its relaxed geometry. The functional is PBE.

POSCAR file:
```
CeEu2Sn
1.0
4.967 0.000 0.000
0.000 4.967 0.000
0.000 0.000 5.031
Ce Eu Sn
1 2 1
Direct
0.000 0.000 0.000 Ce
0.000 0.500 0.500 Eu
0.500 0.000 0.500 Eu
0.500 0.500 0.000 Sn
```

Computed properties:
Space-group type = No. 123
Energy relative to the lowest polymorph listed for this composition = 0.00 eV/f.u.
M_tot = 16.09 μB per formula unit

No. 9
This record from Alexandria via LeMat-Bulk describes crystalline CeEuSn2 at its relaxed geometry. The functional is PBE.

POSCAR file:
```
CeEuSn2
1.0
5.044 0.000 0.000
0.000 5.044 0.000
0.000 0.000 4.512
Ce Eu Sn
1 1 2
Direct
0.000 0.000 0.000 Ce
0.500 0.500 0.000 Eu
0.000 0.500 0.500 Sn
0.500 0.000 0.500 Sn
```

Computed properties:
Space-group type = No. 123
Energy relative to the lowest polymorph listed for this composition = 0.05 eV/f.u.
M_tot = 8.11 μB per formula unit

No. 10
This record from Alexandria via LeMat-Bulk describes crystalline CeEuSn2 at its relaxed geometry. The functional is PBE.

POSCAR file:
```
CeEuSn2
1.0
0.000 3.892 3.892
3.892 0.000 3.892
3.892 3.892 0.000
Ce Eu Sn
1 1 2
Direct
0.000 0.000 0.000 Ce
0.500 0.500 0.500 Eu
0.250 0.250 0.250 Sn
0.750 0.750 0.750 Sn
```

Computed properties:
Space-group type = No. 225
Energy relative to the lowest polymorph listed for this composition = 0.26 eV/f.u.
M_tot = 8.05 μB per formula unit

No. 11
This record from Alexandria via LeMat-Bulk describes crystalline CeEuSn2 at its relaxed geometry. The functional is PBE.

POSCAR file:
```
CeEuSn2
1.0
3.549 0.000 0.000
0.000 3.549 0.000
0.000 0.000 9.110
Ce Eu Sn
1 1 2
Direct
0.000 0.000 0.000 Ce
0.000 0.000 0.500 Eu
0.500 0.500 0.247 Sn
0.500 0.500 0.753 Sn
```

Computed properties:
Space-group type = No. 123
Energy relative to the lowest polymorph listed for this composition = 0.00 eV/f.u.
M_tot = 5.82 μB per formula unit

No. 12
This record from Alexandria via LeMat-Bulk describes crystalline TbCeEuSn at its relaxed geometry. The functional is PBE.

POSCAR file:
```
TbCeEuSn
1.0
0.000 3.889 3.889
3.889 0.000 3.889
3.889 3.889 0.000
Tb Ce Eu Sn
1 1 1 1
Direct
0.000 0.000 0.000 Tb
0.500 0.500 0.500 Ce
0.250 0.250 0.250 Eu
0.750 0.750 0.750 Sn
```

Computed properties:
Space-group type = No. 216
M_tot = 8.89 μB per formula unit

No. 13
This record from Alexandria via LeMat-Bulk describes crystalline SrCeEu2 at its relaxed geometry. The functional is PBE.

POSCAR file:
```
SrCeEu2
1.0
1.870 1.080 13.665
-1.870 1.080 13.665
0.000 -2.159 13.665
Sr Ce Eu
1 1 2
Direct
0.000 0.000 0.000 Sr
0.500 0.500 0.500 Ce
0.417 0.417 0.417 Eu
0.583 0.583 0.583 Eu
```

Computed properties:
Space-group type = No. 166
Energy relative to the lowest polymorph listed for this composition = 0.60 eV/f.u.
M_tot = 13.12 μB per formula unit

No. 14
This record from Alexandria via LeMat-Bulk describes crystalline SrCeEu2 at its relaxed geometry. The functional is PBE.

POSCAR file:
```
SrCeEu2
1.0
3.809 0.000 0.000
0.000 3.809 0.000
0.000 0.000 11.345
Sr Ce Eu
1 1 2
Direct
0.000 0.000 0.000 Sr
0.000 0.000 0.500 Ce
0.500 0.500 0.275 Eu
0.500 0.500 0.725 Eu
```

Computed properties:
Space-group type = No. 123
Energy relative to the lowest polymorph listed for this composition = 0.00 eV/f.u.
M_tot = 13.41 μB per formula unit

No. 15
This record from Alexandria via LeMat-Bulk describes crystalline TbCe4Eu at its relaxed geometry. The functional is PBE.

POSCAR file:
```
TbCe4Eu
1.0
0.000 4.552 4.552
4.552 0.000 4.552
4.552 4.552 0.000
Tb Ce Eu
1 4 1
Direct
0.000 0.000 0.000 Tb
0.366 0.366 0.366 Ce
0.366 0.366 0.902 Ce
0.366 0.902 0.366 Ce
0.902 0.366 0.366 Ce
0.750 0.750 0.750 Eu
```

Computed properties:
Space-group type = No. 216
M_tot = 11.54 μB per formula unit

One value per record, in order, for calculated total energy: -7.62 -6.21 -6.16 -6.79 -6.11 -7.83 -5.75 -7.97 -6.66 -6.61 -6.67 -6.42 -6.71 -6.86 -6.20 eV per atom.
One value per record, in order, for energy of formation from the pure elements: 69 142 90 113 93 -79 -221 -133 -234 -214 -239 -82 127 70 139 kJ/mol of formula units.